Here is a relaxed structure of PuMgFeO6 from Alexandria. Energies are from GGA+U.

## Properties
Its total energy is -7.668 eV/atom.

Unit cell a=5.230 b=5.230 c=9.136 alpha=90.00 beta=90.00 gamma=120.00
Atoms (fractional coordinates):
1 Pu 0.333 0.667 0.250
2 Pu 0.667 0.333 0.750
3 Mg 0.000 0.000 0.000
4 Mg 0.000 0.000 0.500
5 Fe 0.667 0.333 0.250
6 Fe 0.333 0.667 0.750
7 O 0.655 0.659 0.132
8 O 0.005 0.345 0.132
9 O 0.345 0.005 0.632
10 O 0.995 0.655 0.868
11 O 0.341 0.345 0.368
12 O 0.005 0.659 0.368
13 O 0.659 0.005 0.868
14 O 0.655 0.995 0.368
15 O 0.995 0.341 0.632
16 O 0.341 0.995 0.132
17 O 0.659 0.655 0.632
18 O 0.345 0.341 0.868